Density functional theory data (PBE-GGA) for a geometry-optimized Al5P3 structure.

Lattice parameters (Å, degrees): 6.923 6.923 6.571 90.00 90.00 120.00
Fractional positions:
P 0.000 0.426 0.250
P 0.000 0.574 0.750
P 0.574 0.574 0.250
P 0.426 0.000 0.250
P 0.574 0.000 0.750
P 0.426 0.426 0.750
Al 0.667 0.333 0.000
Al 0.333 0.667 0.500
Al 0.333 0.667 0.000
Al 0.667 0.333 0.500
Al 0.000 0.778 0.250
Al 0.000 0.222 0.750
Al 0.222 0.222 0.250
Al 0.778 0.000 0.250
Al 0.222 0.000 0.750
Al 0.778 0.778 0.750

Results
DFT formation energy = 33 meV/atom
space-group type = No. 193
E above lowest polymorph = 136.8 meV/atom
density of states at the Fermi level = 0.3874 states/eV/atom